1) Below is ScReAsBr2 after structural relaxation, with properties calculated at the GGA-PBE level.

Output
SG = P4/mmm
Crystal system = tetragonal
V = 143 Å³ per cell
Size of the total moment = 5.0 μB per formula unit

Cell lengths 5.0699, 5.0699, 5.5822 Å; angles 90.00, 90.00, 90.00 degrees
Last column: magnetic moment on the atom in μB.
Fractional positions:
Br: 0.0000 0.5000 0.0000  0.04
Br: 0.5000 0.0000 0.0000  0.04
Re: 0.5000 0.5000 0.5000  4.09
Sc: 0.0000 0.0000 0.0000  0.06
As: 0.0000 0.0000 0.5000  -0.12


2) Below is ScReAsBr2 after structural relaxation, with properties calculated at the GGA-PBE level.

Output
SG = P4/mmm
Crystal system = tetragonal
V = 128 Å³ per cell
Size of the total moment = 0.5 μB per formula unit

Cell lengths 5.1908, 5.1908, 4.7520 Å; angles 90.00, 90.00, 90.00 degrees
Last column: magnetic moment on the atom in μB.
Fractional positions:
As: 0.0000 0.0000 0.5000  -0.02
Sc: 0.5000 0.5000 0.5000  0.76
Br: 0.0000 0.5000 0.0000  -0.03
Br: 0.5000 0.0000 0.0000  -0.03
Re: 0.0000 0.0000 0.0000  -0.43


List of relative energies, unit meV per atom: 1) 74; 2) 0


1) Below is TaReAsBr2 after structural relaxation, with properties calculated at the GGA-PBE level.

Output
SG = P4/mmm
Crystal system = tetragonal
V = 134 Å³ per cell
Size of the total moment = 5.5 μB per formula unit

Cell lengths 5.1124, 5.1124, 5.1331 Å; angles 90.00, 90.00, 90.00 degrees
Last column: magnetic moment on the atom in μB.
Fractional positions:
Br: 0.5000 0.0000 0.0000  0.06
Br: 0.0000 0.5000 0.0000  0.06
Re: 0.5000 0.5000 0.5000  4.13
Ta: 0.0000 0.0000 0.0000  0.22
As: 0.0000 0.0000 0.5000  -0.04


2) Below is TaReAsBr2 after structural relaxation, with properties calculated at the GGA-PBE level.

Output
SG = P4/mmm
Crystal system = tetragonal
V = 136 Å³ per cell
Size of the total moment = 2.0 μB per formula unit

Cell lengths 5.0744, 5.2741, 5.0744 Å; angles 90.00, 90.00, 90.00 degrees
Last column: magnetic moment on the atom in μB.
Fractional positions:
Br: 0.5000 0.0000 0.0000  0.02
Br: 0.0000 0.0000 0.5000  -0.01
As: 0.0000 0.0000 0.0000  0.05
Re: 0.5000 0.5000 0.5000  3.55
Ta: 0.0000 0.5000 0.0000  -1.56


List of relative energies, unit meV per atom: 1) 0; 2) 602


1) Below is ReTcAsBr2 after structural relaxation, with properties calculated at the GGA-PBE level.

Output
SG = P4/mmm
Crystal system = tetragonal
V = 128 Å³ per cell
Size of the total moment = 5.5 μB per formula unit

Cell lengths 5.1768, 5.1768, 4.7757 Å; angles 90.00, 90.00, 90.00 degrees
Last column: magnetic moment on the atom in μB.
Fractional positions:
Re: 0.5000 0.5000 0.5000  4.15
Br: 0.0000 0.5000 0.0000  0.09
Br: 0.5000 0.0000 0.0000  0.09
Tc: 0.0000 0.0000 0.0000  0.33
As: 0.0000 0.0000 0.5000  -0.10


2) Below is ReTcAsBr2 after structural relaxation, with properties calculated at the GGA-PBE level.

Output
SG = P4/mmm
Crystal system = tetragonal
V = 129 Å³ per cell
Size of the total moment = 6.1 μB per formula unit

Cell lengths 5.1966, 5.1966, 4.7886 Å; angles 90.00, 90.00, 90.00 degrees
Last column: magnetic moment on the atom in μB.
Fractional positions:
Tc: 0.5000 0.5000 0.5000  3.91
As: 0.0000 0.0000 0.5000  -0.05
Br: 0.5000 0.0000 0.0000  0.09
Br: 0.0000 0.5000 0.0000  0.09
Re: 0.0000 0.0000 0.0000  1.07


List of relative energies, unit meV per atom: 1) 119; 2) 0


1) Below is TiReAsBr2 after structural relaxation, with properties calculated at the GGA-PBE level.

Output
SG = P4/mmm
Crystal system = tetragonal
V = 129 Å³ per cell
Size of the total moment = 3.0 μB per formula unit

Cell lengths 5.2119, 5.2119, 4.7523 Å; angles 90.00, 90.00, 90.00 degrees
Last column: magnetic moment on the atom in μB.
Fractional positions:
As: 0.0000 0.0000 0.5000  -0.06
Re: 0.0000 0.0000 0.0000  0.51
Ti: 0.5000 0.5000 0.5000  2.03
Br: 0.0000 0.5000 0.0000  -0.01
Br: 0.5000 0.0000 0.0000  -0.01


2) Below is TiReAsBr2 after structural relaxation, with properties calculated at the GGA-PBE level.

Output
SG = P4/mmm
Crystal system = tetragonal
V = 129 Å³ per cell
Size of the total moment = 5.6 μB per formula unit

Cell lengths 4.9319, 4.9319, 5.3013 Å; angles 90.00, 90.00, 90.00 degrees
Last column: magnetic moment on the atom in μB.
Fractional positions:
Re: 0.5000 0.5000 0.5000  4.06
Br: 0.0000 0.5000 0.0000  0.04
Br: 0.5000 0.0000 0.0000  0.04
As: 0.0000 0.0000 0.5000  -0.12
Ti: 0.0000 0.0000 0.0000  0.65


List of relative energies, unit meV per atom: 1) 28; 2) 0


1) Below is YReAs2Br after structural relaxation, with properties calculated at the GGA-PBE level.

Output
SG = P4/mmm
Crystal system = tetragonal
V = 121 Å³ per cell
Size of the total moment = 0.0 μB per formula unit

Cell lengths 4.7898, 4.7898, 5.2906 Å; angles 90.00, 90.00, 90.00 degrees
Fractional positions:
Br: 0.0000 0.0000 0.5000
As: 0.0000 0.5000 0.0000
As: 0.5000 0.0000 0.0000
Re: 0.0000 0.0000 0.0000
Y: 0.5000 0.5000 0.5000


2) Below is YReAs2Br after structural relaxation, with properties calculated at the GGA-PBE level.

Output
SG = P4/mmm
Crystal system = tetragonal
V = 162 Å³ per cell
Size of the total moment = 4.0 μB per formula unit

Cell lengths 5.5093, 5.5093, 5.3270 Å; angles 90.00, 90.00, 90.00 degrees
Last column: magnetic moment on the atom in μB.
Fractional positions:
Br: 0.0000 0.0000 0.5000  -0.02
As: 0.0000 0.5000 0.0000  -0.22
As: 0.5000 0.0000 0.0000  -0.22
Y: 0.0000 0.0000 0.0000  0.01
Re: 0.5000 0.5000 0.5000  4.04


List of relative energies, unit meV per atom: 1) 0; 2) 926


1) Below is ZnReAsBr2 after structural relaxation, with properties calculated at the GGA-PBE level.

Output
SG = P4/mmm
Crystal system = tetragonal
V = 132 Å³ per cell
Size of the total moment = 1.4 μB per formula unit

Cell lengths 5.2475, 5.2475, 4.7949 Å; angles 90.00, 90.00, 90.00 degrees
Last column: magnetic moment on the atom in μB.
Fractional positions:
As: 0.0000 0.0000 0.5000  -0.08
Zn: 0.5000 0.5000 0.5000  -0.02
Br: 0.5000 0.0000 0.0000  0.06
Br: 0.0000 0.5000 0.0000  0.06
Re: 0.0000 0.0000 0.0000  1.29


2) Below is ZnReAsBr2 after structural relaxation, with properties calculated at the GGA-PBE level.

Output
SG = P4/mmm
Crystal system = tetragonal
V = 131 Å³ per cell
Size of the total moment = 4.1 μB per formula unit

Cell lengths 4.9694, 4.9694, 5.2884 Å; angles 90.00, 90.00, 90.00 degrees
Last column: magnetic moment on the atom in μB.
Fractional positions:
Br: 0.0000 0.5000 0.0000  0.02
Br: 0.5000 0.0000 0.0000  0.02
Re: 0.5000 0.5000 0.5000  4.01
Zn: 0.0000 0.0000 0.0000  0.01
As: 0.0000 0.0000 0.5000  -0.41


List of relative energies, unit meV per atom: 1) 0; 2) 639


1) Below is ZrReAsBr2 after structural relaxation, with properties calculated at the GGA-PBE level.

Output
SG = P4/mmm
Crystal system = tetragonal
V = 125 Å³ per cell
Size of the total moment = 1.5 μB per formula unit

Cell lengths 5.1202, 5.1202, 4.7655 Å; angles 90.00, 90.00, 90.00 degrees
Last column: magnetic moment on the atom in μB.
Fractional positions:
Re: 0.0000 0.0000 0.0000  -0.36
Br: 0.5000 0.0000 0.0000  -0.04
Br: 0.0000 0.5000 0.0000  -0.04
As: 0.0000 0.0000 0.5000  -0.05
Zr: 0.5000 0.5000 0.5000  1.36


2) Below is ZrReAsBr2 after structural relaxation, with properties calculated at the GGA-PBE level.

Output
SG = P4/mmm
Crystal system = tetragonal
V = 148 Å³ per cell
Size of the total moment = 5.5 μB per formula unit

Cell lengths 5.2448, 5.2448, 5.3926 Å; angles 90.00, 90.00, 90.00 degrees
Last column: magnetic moment on the atom in μB.
Fractional positions:
Re: 0.5000 0.5000 0.5000  4.21
Br: 0.0000 0.5000 0.0000  0.04
Br: 0.5000 0.0000 0.0000  0.04
Zr: 0.0000 0.0000 0.0000  0.19
As: 0.0000 0.0000 0.5000  -0.03


List of relative energies, unit meV per atom: 1) 49; 2) 0


1) Below is As2RhBr after structural relaxation, with properties calculated at the GGA-PBE level.

Output
SG = Pm
Crystal system = monoclinic
V = 105 Å³ per cell
Size of the total moment = 0.0 μB per formula unit

Cell lengths 3.8239, 3.9637, 6.9607 Å; angles 95.87, 90.00, 90.00 degrees
Fractional positions:
As: 0.5000 0.3087 0.0415
As: 0.0000 0.8746 0.0560
Br: 0.0000 0.5708 0.5821
Rh: 0.5000 0.7459 0.8203


2) Below is As2RhBr after structural relaxation, with properties calculated at the GGA-PBE level.

Output
SG = P4/mmm
Crystal system = tetragonal
V = 92 Å³ per cell
Size of the total moment = 0.5 μB per formula unit

Cell lengths 2.9489, 2.9489, 10.5575 Å; angles 90.00, 90.00, 90.02 degrees
Last column: magnetic moment on the atom in μB.
Fractional positions:
As: 0.0000 0.0000 0.5943  0.02
As: 0.0000 0.0000 0.9057  0.02
Rh: 0.5000 0.5000 0.7500  0.41
Br: 0.5000 0.5000 0.2500  0.00


List of relative energies, unit meV per atom: 1) 0; 2) 59


1) Below is As2RhBr after structural relaxation, with properties calculated at the GGA-PBE level.

Output
SG = C2/m
Crystal system = monoclinic
V = 88 Å³ per cell
Size of the total moment = 0.0 μB per formula unit

Cell lengths 4.1042, 4.1042, 8.0149 Å; angles 63.34, 63.34, 48.63 degrees
Fractional positions:
Br: 0.7500 0.7500 0.7500
Rh: 0.2500 0.2500 0.2500
As: 0.0363 0.0363 0.0881
As: 0.4637 0.4637 0.4119


2) Below is As2RhBr after structural relaxation, with properties calculated at the GGA-PBE level.

Output
SG = R-3m
Crystal system = trigonal
V = 83 Å³ per cell
Size of the total moment = 0.0 μB per formula unit

Cell lengths 7.5854, 7.5854, 7.5854 Å; angles 27.60, 27.60, 27.60 degrees
Fractional positions:
As: 0.4803 0.4803 0.4803
As: 0.0197 0.0197 0.0197
Rh: 0.7500 0.7500 0.7500
Br: 0.2500 0.2500 0.2500


List of relative energies, unit meV per atom: 1) 0; 2) 48


1) Below is As2RhBr after structural relaxation, with properties calculated at the GGA-PBE level.

Output
SG = Pmmm
Crystal system = orthorhombic
V = 86 Å³ per cell
Size of the total moment = 0.0 μB per formula unit

Cell lengths 2.8210, 3.5785, 8.4751 Å; angles 90.00, 90.00, 90.00 degrees
Fractional positions:
As: 0.0000 0.0000 0.5868
As: 0.0000 0.0000 0.9132
Br: 0.5000 0.5000 0.2500
Rh: 0.5000 0.5000 0.7500


2) Below is As2RhBr after structural relaxation, with properties calculated at the GGA-PBE level.

Output
SG = Cmmm
Crystal system = orthorhombic
V = 75 Å³ per cell
Size of the total moment = 0.0 μB per formula unit

Cell lengths 4.9898, 4.9898, 3.3041 Å; angles 90.00, 90.00, 114.70 degrees
Fractional positions:
Rh: 0.0000 0.5000 0.5000
As: 0.0000 0.0000 0.0000
As: 0.5000 0.5000 0.0000
Br: 0.5000 0.0000 0.5000


List of relative energies, unit meV per atom: 1) 0; 2) 579


1) Below is AsRhSeBr2 after structural relaxation, with properties calculated at the GGA-PBE level.

Output
SG = P4/mmm
Crystal system = tetragonal
V = 140 Å³ per cell
Size of the total moment = 2.1 μB per formula unit

Cell lengths 5.2350, 5.2350, 5.0964 Å; angles 90.00, 90.00, 90.00 degrees
Last column: magnetic moment on the atom in μB.
Fractional positions:
Se: 0.0000 0.0000 0.5000  0.14
As: 0.0000 0.0000 0.0000  -0.01
Rh: 0.5000 0.5000 0.5000  1.64
Br: 0.0000 0.5000 0.0000  0.04
Br: 0.5000 0.0000 0.0000  0.04


2) Below is AsRhSeBr2 after structural relaxation, with properties calculated at the GGA-PBE level.

Output
SG = P4/mmm
Crystal system = tetragonal
V = 122 Å³ per cell
Size of the total moment = 0.4 μB per formula unit

Cell lengths 5.0054, 5.0054, 4.8733 Å; angles 90.00, 90.00, 90.00 degrees
Last column: magnetic moment on the atom in μB.
Fractional positions:
As: 0.0000 0.0000 0.5000  -0.04
Br: 0.5000 0.0000 0.0000  0.04
Br: 0.0000 0.5000 0.0000  0.04
Se: 0.5000 0.5000 0.5000  0.26
Rh: 0.0000 0.0000 0.0000  -0.01


List of relative energies, unit meV per atom: 1) 348; 2) 0


1) Below is TiAsRhBr2 after structural relaxation, with properties calculated at the GGA-PBE level.

Output
SG = P4/mmm
Crystal system = tetragonal
V = 122 Å³ per cell
Size of the total moment = 0.2 μB per formula unit

Cell lengths 5.0254, 5.0254, 4.8122 Å; angles 90.00, 90.00, 90.00 degrees
Last column: magnetic moment on the atom in μB.
Fractional positions:
Rh: 0.0000 0.0000 0.0000  -0.02
Br: 0.5000 0.0000 0.0000  0.01
Br: 0.0000 0.5000 0.0000  0.01
As: 0.0000 0.0000 0.5000  -0.02
Ti: 0.5000 0.5000 0.5000  -0.07


2) Below is TiAsRhBr2 after structural relaxation, with properties calculated at the GGA-PBE level.

Output
SG = P4/mmm
Crystal system = tetragonal
V = 126 Å³ per cell
Size of the total moment = 2.0 μB per formula unit

Cell lengths 4.9460, 4.9460, 5.1419 Å; angles 90.00, 90.00, 90.00 degrees
Last column: magnetic moment on the atom in μB.
Fractional positions:
Br: 0.0000 0.5000 0.0000  0.01
Br: 0.5000 0.0000 0.0000  0.01
Ti: 0.0000 0.0000 0.0000  0.46
As: 0.0000 0.0000 0.5000  -0.05
Rh: 0.5000 0.5000 0.5000  1.40


List of relative energies, unit meV per atom: 1) 126; 2) 0